Compound: KCrAg2O4
Source: Alexandria via LeMat-Bulk
Functional: PBE+U
Structure: optimized geometry

Unit cell a=5.933 b=5.933 c=7.270 alpha=90.00 beta=90.00 gamma=90.00
Space group I-42m (No. 121)
Symmetry-distinct sites (fractional):
K: 0.000 0.000 0.000 x2
Cr: 0.000 0.000 0.500 x2
Ag: 0.000 0.500 0.250 x4
O: 0.168 0.168 0.641 x8

Final energy   -0.192 hartree per atom
Spin magnetization   1.000 μB/f.u.